{"formula": "Ac8Rh5", "functional": "PBE", "state": "optimized geometry", "lattice_angstrom": [[6.8441, -4.3401, 0.0000], [6.8441, 4.3401, 0.0000], [-6.8396, 0.0000, 7.5289]], "species": ["Ac", "Ac", "Ac", "Ac", "Ac", "Ac", "Ac", "Ac", "Rh", "Rh", "Rh", "Rh", "Rh"], "frac_coords": [[0.0290, 0.0290, 0.3310], [0.0371, 0.5387, 0.8354], [0.4613, 0.9629, 0.1646], [0.4647, 0.4647, 0.6699], [0.5353, 0.5353, 0.3301], [0.5387, 0.0371, 0.8354], [0.9629, 0.4613, 0.1646], [0.9710, 0.9710, 0.6690], [0.2500, 0.7500, 0.5000], [0.2546, 0.2546, 0.9984], [0.5000, 0.5000, 0.0000], [0.7454, 0.7454, 0.0016], [0.7500, 0.2500, 0.5000]], "spacegroup": "No. 12", "delta_e_f_mev_per_atom": -608, "magnetic_moment_mub_per_fu": 0.000}